# NaPmSmOs | Alexandria via LeMat-Bulk | GGA-PBE | relaxed
# symmetry: No. 216
# energy: -0.397 Ry/atom
# DOS(E_F): 12.07 states/eV per cell
# ΔH_f (0 K): 0.10 eV/atom
data_NaPmSmOs
_chemical_formula_sum 'Na4 Pm4 Sm4 Os4'
_cell_length_a 7.2382
_cell_length_b 7.2382
_cell_length_c 7.2382
_cell_angle_alpha 90.00
_cell_angle_beta 90.00
_cell_angle_gamma 90.00
_symmetry_space_group_name_H-M 'P 1'
_symmetry_Int_Tables_number 1
_symmetry_space_group_name_Hall 'P 1'
loop_
_atom_site_label
_atom_site_type_symbol
_atom_site_fract_x
_atom_site_fract_y
_atom_site_fract_z
_atom_site_occupancy
Na1 Na 0.0000 0.0000 0.0000 1
Na2 Na 0.0000 0.5000 0.5000 1
Na3 Na 0.5000 0.0000 0.5000 1
Na4 Na 0.5000 0.5000 0.0000 1
Pm1 Pm 0.2500 0.2500 0.7500 1
Pm2 Pm 0.2500 0.7500 0.2500 1
Pm3 Pm 0.7500 0.2500 0.2500 1
Pm4 Pm 0.7500 0.7500 0.7500 1
Sm1 Sm 0.2500 0.2500 0.2500 1
Sm2 Sm 0.2500 0.7500 0.7500 1
Sm3 Sm 0.7500 0.2500 0.7500 1
Sm4 Sm 0.7500 0.7500 0.2500 1
Os1 Os 0.0000 0.0000 0.5000 1
Os2 Os 0.0000 0.5000 0.0000 1
Os3 Os 0.5000 0.0000 0.0000 1
Os4 Os 0.5000 0.5000 0.5000 1